## PuPaMn2O8 (GGA+U)

Data for an optimized crystal structure of PuPaMn2O8.

Unit cell a=5.986 b=5.986 c=5.986 alpha=110.56 beta=110.56 gamma=107.31
Each line ends with the local moment (μB).
Element x y z (fractional)
Mn: 0.500 0.500 0.000  4.35
Mn: 0.750 0.250 0.500  4.03
O: 0.948 0.638 0.690  -0.09
O: 0.509 0.707 0.802  -0.13
O: 0.362 0.052 0.310  -0.09
O: 0.293 0.491 0.198  -0.13
O: 0.741 0.052 0.690  -0.09
O: 0.948 0.259 0.310  -0.09
O: 0.905 0.707 0.198  -0.13
O: 0.293 0.095 0.802  -0.13
Pa: 0.000 0.000 0.000  0.09
Pu: 0.250 0.750 0.500  3.12

Raw total energy in Ha/atom: -0.327
Space-group type: I-4m2 (119)
DOS(E_F) in states/eV per cell: 7.1
Total magnetic moment in μB/cell: 11.0